No. 1
{
  "formula": "MgHg3Au",
  "functional": "GGA-PBEsol",
  "state": "optimized geometry",
  "formation_enthalpy_0k_kj_per_mol_atoms": 20.77,
  "total_energy_ev_per_cell": -6.27,
  "rho_g_cm3": 9.32,
  "sg": "Pm-3m",
  "total_magnetization_mub_per_cell": 0.00,
  "lattice": [[5.2736, 0.0000, 0.0000], [0.0000, 5.2736, 0.0000], [0.0000, 0.0000, 5.2736]],
  "species": ["Mg", "Au", "Hg", "Hg", "Hg"],
  "frac_coords": [[0.5000, 0.5000, 0.5000], [0.0000, 0.0000, 0.0000], [0.0000, 0.5000, 0.0000], [0.0000, 0.0000, 0.5000], [0.5000, 0.0000, 0.0000]]
}

***

No. 2
{
  "formula": "Mg3HgAu2",
  "functional": "GGA-PBEsol",
  "state": "optimized geometry",
  "formation_enthalpy_0k_kj_per_mol_atoms": -48.58,
  "total_energy_ev_per_cell": -16.59,
  "rho_g_cm3": 10.10,
  "sg": "P4/mmm",
  "total_magnetization_mub_per_cell": 0.00,
  "lattice": [[3.2704, 0.0000, 0.0000], [0.0000, 3.2704, 0.0000], [0.0000, 0.0000, 10.2585]],
  "species": ["Mg", "Mg", "Mg", "Au", "Au", "Hg"],
  "frac_coords": [[0.5000, 0.5000, 0.1850], [0.5000, 0.5000, 0.5000], [0.5000, 0.5000, 0.8150], [0.0000, 0.0000, 0.3416], [0.0000, 0.0000, 0.6584], [0.0000, 0.0000, 0.0000]]
}